# 1
! LaSm8Y3 PBE relaxed; values from VASP
&SYSTEM
  ibrav = 0, nat = 12, ntyp = 3
/
ATOMIC_SPECIES
Sm 150.36 Sm.upf
La 138.91 La.upf
Y 88.91 Y.upf
CELL_PARAMETERS angstrom
8.3851 -1.3472 -2.2780
-6.0199 6.2723 -1.3168
1.2266 1.3472 8.6021
ATOMIC_POSITIONS angstrom
Sm -1.9695 5.7047 6.5196
Sm 3.0734 1.1886 0.7758
Sm 0.5201 5.0810 4.2289
Sm 0.4144 1.9148 2.8963
La 3.5918 6.2723 5.0073
Sm -4.0911 5.0838 1.1987
Sm 7.6812 1.1913 3.8113
Sm 5.5614 0.5678 -1.5125
Y 5.9885 2.4626 1.3647
Sm 3.1772 4.3573 2.1112
Y 3.6731 1.8007 4.8837
Y -0.0813 4.4716 0.1236
! Energy of formation from the pure elements, eV per atom: 0.318
! Crystal system: orthorhombic
! M_tot, μB/cell: 0.0

# 2
! Y8Er3Tm3 PBE relaxed; values from VASP
&SYSTEM
  ibrav = 0, nat = 14, ntyp = 3
/
ATOMIC_SPECIES
Er 167.26 Er.upf
Tm 168.93 Tm.upf
Y 88.91 Y.upf
CELL_PARAMETERS angstrom
-1.0458 2.5193 4.8864
3.6918 -5.5652 6.8639
5.7017 7.6804 0.4650
ATOMIC_POSITIONS angstrom
Er 1.0462 2.4383 5.3759
Tm 5.3387 5.2879 1.6208
Y 5.5166 4.8840 8.2763
Er 7.3016 2.1962 6.8395
Y 6.2677 5.2035 5.0677
Tm 4.0548 -3.1727 5.7081
Tm -0.5229 1.2597 2.4432
Y 3.2473 2.4930 2.6142
Y 2.9753 5.3309 4.2974
Y 2.0801 -0.5689 7.1476
Y 5.3724 -0.6964 7.9179
Y 2.8312 -0.2494 3.9391
Y 5.1004 2.1416 9.6011
Er 4.1739 2.3173 6.1077
! Energy of formation from the pure elements, eV per atom: 0.131
! Crystal system: orthorhombic
! Offset from the most stable computed form, meV per atom: 3
! M_tot, μB/cell: 0.0

# 3
! K5ReN4 PBE relaxed; values from VASP
&SYSTEM
  ibrav = 0, nat = 20, ntyp = 3
/
ATOMIC_SPECIES
N 14.01 N.upf
K 39.10 K.upf
Re 186.21 Re.upf
CELL_PARAMETERS angstrom
6.4530 0.0000 0.0000
0.0000 8.5316 0.0000
0.0000 0.0000 7.9476
ATOMIC_POSITIONS angstrom
N 0.3450 6.9822 0.0000
K 1.7051 5.8710 5.8262
K 1.7051 2.6606 5.8262
K 4.7479 6.9264 6.0951
N 2.4103 0.0000 6.4060
N 4.0427 4.2658 5.5154
K 1.7051 5.8710 2.1213
K 1.7051 2.6606 2.1213
N 2.4103 0.0000 1.5416
N 0.3450 1.5494 0.0000
Re 1.3726 0.0000 0.0000
K 4.7479 1.6052 6.0951
K 4.7479 1.6052 1.8525
K 0.9620 0.0000 3.9738
K 5.4910 4.2658 0.0000
N 6.1080 2.7164 3.9738
K 4.7479 6.9264 1.8525
N 4.0427 4.2658 2.4322
Re 5.0804 4.2658 3.9738
N 6.1080 5.8151 3.9738
! Formation energy (no corrections), eV/atom: -0.204
! Crystal system: orthorhombic
! M_tot, μB/cell: 0.2

# 4
! Ca2TlRh PBE relaxed; values from VASP
&SYSTEM
  ibrav = 0, nat = 4, ntyp = 3
/
ATOMIC_SPECIES
Ca 40.08 Ca.upf
Tl 204.38 Tl.upf
Rh 102.91 Rh.upf
CELL_PARAMETERS angstrom
-1.2223 1.5786 -2.9567
-2.9260 -2.0376 0.1220
-3.8267 5.7745 4.6651
ATOMIC_POSITIONS angstrom
Ca -3.6036 5.4379 4.3932
Ca -3.3248 1.6578 0.1074
Tl -4.7561 3.8176 1.8523
Rh -2.0304 3.0639 2.4752
! Energy of formation from the pure elements, eV per atom: -0.216
! Crystal system: tetragonal
! Offset from the most stable computed form, meV per atom: 156
! M_tot, μB/cell: 0.0

# 5
! Li2TaCl PBE relaxed; values from VASP
&SYSTEM
  ibrav = 0, nat = 4, ntyp = 3
/
ATOMIC_SPECIES
Li 6.94 Li.upf
Ta 180.95 Ta.upf
Cl 35.45 Cl.upf
CELL_PARAMETERS angstrom
0.0000 3.4585 3.4585
3.4585 0.0000 3.4585
3.4585 3.4585 0.0000
ATOMIC_POSITIONS angstrom
Li 5.1878 5.1878 5.1878
Li 1.7293 1.7293 1.7293
Ta 3.4585 3.4585 3.4585
Cl 0.0000 0.0000 0.0000
! Formation energy (no corrections), eV/atom: 0.879
! Crystal system: cubic
! Offset from the most stable computed form, meV per atom: 1258
! M_tot, μB/cell: 3.9

# 6
! LiSn PBE relaxed; values from VASP
&SYSTEM
  ibrav = 0, nat = 32, ntyp = 2
/
ATOMIC_SPECIES
Li 6.94 Li.upf
Sn 118.71 Sn.upf
CELL_PARAMETERS angstrom
11.5024 0.0000 0.0000
0.0000 14.2561 0.0000
0.0000 0.0000 4.5970
ATOMIC_POSITIONS angstrom
Li 1.4307 0.0000 0.0000
Li 10.0575 3.5640 1.1492
Sn 2.8756 4.9872 1.1492
Li 7.1961 10.6920 3.4477
Sn 5.7512 8.5512 2.2985
Sn 0.0000 12.8329 2.2985
Li 1.4449 3.5640 3.4477
Sn 0.0000 1.4232 2.2985
Sn 8.6268 12.1152 1.1492
Li 7.1961 3.5640 1.1492
Sn 2.8756 9.2689 3.4477
Li 7.1819 0.0000 2.2985
Sn 5.7512 12.8329 0.0000
Li 1.4449 10.6920 1.1492
Sn 2.8756 2.1408 1.1492
Sn 8.6268 9.2689 1.1492
Li 10.0717 0.0000 0.0000
Sn 8.6268 4.9872 3.4477
Li 4.3063 10.6920 1.1492
Sn 0.0000 5.7048 0.0000
Li 4.3205 7.1280 0.0000
Sn 5.7512 1.4232 0.0000
Sn 2.8756 12.1152 3.4477
Li 10.0575 10.6920 3.4477
Sn 0.0000 8.5512 0.0000
Li 1.4307 7.1280 2.2985
Li 10.0717 7.1280 2.2985
Li 4.3205 0.0000 2.2985
Sn 5.7512 5.7048 2.2985
Li 7.1819 7.1280 0.0000
Li 4.3063 3.5640 3.4477
Sn 8.6268 2.1408 3.4477
! Energy of formation from the pure elements, eV per atom: -0.204
! Crystal system: orthorhombic
! M_tot, μB/cell: 0.0

# 7
! MgCuP PBE relaxed; values from VASP
&SYSTEM
  ibrav = 0, nat = 6, ntyp = 3
/
ATOMIC_SPECIES
P 30.97 P.upf
Cu 63.55 Cu.upf
Mg 24.30 Mg.upf
CELL_PARAMETERS angstrom
3.9843 -0.0010 -0.0096
0.0026 6.6106 0.0004
-1.9862 0.0001 3.4551
ATOMIC_POSITIONS angstrom
P 0.0273 3.4486 2.4645
Cu 0.0281 6.1103 2.4646
Mg 2.0169 1.4601 1.3104
Cu 0.0228 2.8054 0.1643
P 0.0221 0.1436 0.1647
Mg 2.0182 4.7654 1.3096
! Energy of formation from the pure elements, eV per atom: -0.353
! Crystal system: hexagonal
! M_tot, μB/cell: 0.0

# 8
! SiHg2Ir PBE relaxed; values from VASP
&SYSTEM
  ibrav = 0, nat = 4, ntyp = 3
/
ATOMIC_SPECIES
Si 28.09 Si.upf
Ir 192.22 Ir.upf
Hg 200.59 Hg.upf
CELL_PARAMETERS angstrom
3.0286 0.0000 0.0000
0.0000 4.4590 0.0000
0.0000 0.0000 5.5845
ATOMIC_POSITIONS angstrom
Si 0.0000 2.2295 2.7923
Ir 1.5143 0.0000 2.7923
Hg 1.5143 2.2295 0.0000
Hg 0.0000 0.0000 0.0000
! Formation energy (no corrections), eV/atom: 0.543
! Crystal system: orthorhombic
! M_tot, μB/cell: 0.0